[1]
Entry from the Alexandria database: crystalline Mg5In3 at its relaxed geometry (GGA-PBEsol).

Lattice parameters (Å, degrees): 5.889 8.518 8.508 120.04 90.00 90.00
Positions (direct):
1 In 0.250 0.600 0.600
2 In 0.750 0.400 0.400
3 In 0.250 0.000 0.400
4 In 0.750 0.600 0.000
5 In 0.750 0.000 0.600
6 In 0.250 0.400 0.000
7 Mg 0.750 0.768 0.767
8 Mg 0.250 0.232 0.233
9 Mg 0.750 0.000 0.233
10 Mg 0.250 0.767 0.000
11 Mg 0.500 0.333 0.667
12 Mg 0.000 0.333 0.667
13 Mg 0.500 0.667 0.333
14 Mg 0.000 0.667 0.333
15 Mg 0.250 0.000 0.767
16 Mg 0.750 0.233 0.000

Summary:
- Size of the total moment: 0.00 μB/atom
- ΔE_f: -76 meV per atom
- Mass density: 4.19 g/cm3
- Energy above the most stable polymorph in this dataset: 38 meV per atom

=====

[2]
Entry from the Alexandria database: crystalline Mg3In at its relaxed geometry (GGA-PBEsol).

Lattice parameters (Å, degrees): 3.182 5.427 6.080 116.51 105.17 90.00
Positions (direct):
1 Mg 0.748 0.081 0.497
2 Mg 0.500 0.499 0.000
3 Mg 0.252 0.584 0.503
4 In 0.000 0.003 0.000

Summary:
- Size of the total moment: 0.00 μB/atom
- ΔE_f: -68 meV per atom
- Mass density: 3.47 g/cm3

=====

[3]
Entry from the Alexandria database: crystalline MgIn at its relaxed geometry (GGA-PBEsol).

Lattice parameters (Å, degrees): 3.367 5.126 5.381 90.00 90.00 90.00
Positions (direct):
1 Mg 0.000 0.092 0.500
2 Mg 0.500 0.908 0.000
3 In 0.000 0.407 0.000
4 In 0.500 0.593 0.500

Summary:
- Size of the total moment: 0.00 μB/atom
- ΔE_f: -78 meV per atom
- Mass density: 4.97 g/cm3

=====

[4]
Entry from the Alexandria database: crystalline MgIn5 at its relaxed geometry (GGA-PBEsol).

Lattice parameters (Å, degrees): 3.284 3.284 15.940 90.00 90.00 120.00
Positions (direct):
1 Mg 0.333 0.667 0.500
2 In 0.000 0.000 0.342
3 In 0.333 0.667 0.172
4 In 0.000 0.000 0.000
5 In 0.333 0.667 0.828
6 In 0.000 0.000 0.658

Summary:
- Size of the total moment: 0.00 μB/atom
- ΔE_f: -14 meV per atom
- Mass density: 6.68 g/cm3

=====

[5]
Entry from the Alexandria database: crystalline MgIn at its relaxed geometry (GGA-PBEsol).

Lattice parameters (Å, degrees): 3.226 3.226 4.317 90.00 90.00 90.00
Positions (direct):
1 Mg 0.500 0.500 0.500
2 In 0.000 0.000 0.000

Summary:
- Size of the total moment: 0.00 μB/atom
- ΔE_f: -126 meV per atom
- Mass density: 5.14 g/cm3

=====

[6]
Entry from the Alexandria database: crystalline Mg3In at its relaxed geometry (GGA-PBEsol).

Lattice parameters (Å, degrees): 5.622 5.622 5.622 90.00 90.00 90.00
Positions (direct):
1 In 0.000 0.000 0.000
2 In 0.500 0.500 0.500
3 Mg 0.000 0.250 0.500
4 Mg 0.000 0.750 0.500
5 Mg 0.250 0.500 0.000
6 Mg 0.500 0.000 0.250
7 Mg 0.500 0.000 0.750
8 Mg 0.750 0.500 0.000

Summary:
- Size of the total moment: 0.00 μB/atom
- ΔE_f: -81 meV per atom
- Mass density: 3.51 g/cm3

=====

[7]
Entry from the Alexandria database: crystalline Mg2MnIn at its relaxed geometry (GGA-PBEsol).

Lattice parameters (Å, degrees): 4.174 4.174 4.299 90.00 90.00 90.00
Positions (direct):
1 In 0.000 0.000 0.500
2 Mg 0.000 0.500 0.000
3 Mg 0.500 0.000 0.000
4 Mn 0.500 0.500 0.500

Summary:
- Size of the total moment: 0.83 μB/atom
- ΔE_f: 114 meV per atom
- Mass density: 4.84 g/cm3

=====

[8]
Entry from the Alexandria database: crystalline MgMnIn3 at its relaxed geometry (GGA-PBEsol).

Lattice parameters (Å, degrees): 5.284 5.284 5.284 90.00 90.00 90.00
Positions (direct):
1 Mg 0.000 0.000 0.000
2 Mn 0.500 0.500 0.500
3 In 0.000 0.500 0.000
4 In 0.000 0.000 0.500
5 In 0.500 0.000 0.000

Summary:
- Size of the total moment: 0.93 μB/atom
- ΔE_f: 887 meV per atom
- Mass density: 4.77 g/cm3